(1)
Entry from Alexandria: a relaxed Sr3PaP2N6 crystal (PBE-GGA).

POSCAR file:
```
Sr3PaP2N6
1.0
5.8416 0.0000 0.0000
-2.9208 5.0590 0.0000
0.0000 0.0000 6.7353
N P Sr Pa
6 2 3 1
Direct
0.3593 0.1796 0.7003
0.1796 0.3593 0.2997
0.8204 0.1796 0.7003
0.6407 0.8204 0.2997
0.8204 0.6407 0.7003
0.1796 0.8204 0.2997
0.3333 0.6667 0.2092
0.6667 0.3333 0.7908
0.6667 0.3333 0.3260
0.3333 0.6667 0.6740
0.0000 0.0000 0.0000
0.0000 0.0000 0.5000
```

Properties
calculated volume	199.05	Å³/cell
SG	P-3m1 (164)
E_form (uncorrected)	-102.59	kJ/mol of atoms
M_tot	0.053	μB/atom



(2)
Entry from Alexandria: a relaxed RbMnInGa2 crystal (PBE-GGA).

POSCAR file:
```
RbMnInGa2
1.0
-0.9232 3.2557 3.4897
-4.2152 1.1107 -2.1513
-2.3547 -3.6134 2.7482
Ga Mn In Rb
2 1 1 1
Direct
0.0000 0.5000 0.0000
0.5000 0.0000 0.0000
0.0000 0.0000 0.0000
0.0000 0.0000 0.5000
0.5000 0.5000 0.5000
```

Properties
calculated volume	120.85	Å³/cell
SG	P4/mmm (123)
energy of formation from the pure elements	0.030	eV/atom
M_tot	0.155	μB/atom



(3)
Entry from Alexandria: a relaxed Lu2TcH crystal (PBE-GGA).

POSCAR file:
```
Lu2TcH
1.0
-0.7168 -2.7535 1.8627
1.5592 -2.9501 -0.6565
5.3305 -0.2184 4.8328
H Lu Tc
1 2 1
Direct
0.0000 0.0000 0.0000
0.7381 0.7381 0.7857
0.2619 0.2619 0.2143
0.5000 0.5000 0.5000
```

Properties
calculated volume	69.36	Å³/cell
SG	R-3m (166)
uncorrected energy	-5.788	eV/atom
M_tot	0.000	μB/atom



(4)
Entry from Alexandria: a relaxed TbPm3In crystal (PBE-GGA).

POSCAR file:
```
TbPm3In
1.0
-3.6139 -3.4308 -2.2653
4.3796 0.2135 -7.3102
3.8509 -5.4742 2.1473
Pm Tb In
6 2 2
Direct
0.2500 0.0624 0.2200
0.7500 0.9376 0.7800
0.7500 0.5624 0.7800
0.7500 0.7500 0.2814
0.2500 0.2500 0.7186
0.2500 0.4376 0.2200
0.7500 0.2500 0.4469
0.2500 0.7500 0.5531
0.2500 0.7500 0.9838
0.7500 0.2500 0.0162
```

Properties
calculated volume	327.98	Å³/cell
SG	Pmmn (59)
energy of formation from the pure elements	-0.102	eV/atom
M_tot	0.000	μB/atom



(5)
Entry from Alexandria: a relaxed BeCdSn crystal (PBE-GGA).

POSCAR file:
```
BeCdSn
1.0
6.3333 0.0013 0.1262
-0.0019 3.2523 0.0001
0.4058 -0.0001 5.7834
Be Cd Sn
2 2 2
Direct
0.6447 0.0019 0.3912
0.6640 0.5020 0.1184
0.4387 0.0017 0.8682
0.3222 0.5017 0.4340
0.9989 0.0026 0.1194
0.8703 0.5023 0.6516
```

Properties
calculated volume	118.96	Å³/cell
SG	Pm (6)
energy of formation from the pure elements	0.284	eV/atom
M_tot	0.000	μB/atom



(6)
Entry from Alexandria: a relaxed SmThHg4 crystal (PBE-GGA).

POSCAR file:
```
SmThHg4
1.0
6.0074 0.0000 0.0000
3.0037 5.2026 0.0000
3.0037 1.7342 4.9051
Hg Th Sm
4 1 1
Direct
0.6249 0.6249 0.1253
0.6249 0.6249 0.6249
0.6249 0.1253 0.6249
0.1253 0.6249 0.6249
0.0000 0.0000 0.0000
0.2500 0.2500 0.2500
```

Properties
calculated volume	153.30	Å³/cell
SG	F-43m (216)
energy of formation from the pure elements	-0.161	eV/atom
M_tot	0.135	μB/atom